# 1
Entry from the Alexandria database: Ho9ErSc2 after structural relaxation (PBE-GGA).

raw total energy: -4.83 eV per atom
symmetry: P4/mmm (123)
formation enthalpy at 0 K: 0.036 eV/atom

```
Ho9ErSc2
1.0
4.925 0.000 0.000
0.000 4.925 0.000
0.000 0.000 14.741
Ho Er Sc
9 1 2
Direct
0.000 0.000 0.000
0.000 0.000 0.335
0.000 0.000 0.665
0.000 0.500 0.170
0.000 0.500 0.500
0.000 0.500 0.830
0.500 0.000 0.170
0.500 0.000 0.500
0.500 0.000 0.830
0.500 0.500 0.000
0.500 0.500 0.335
0.500 0.500 0.665
```

***

# 2
Entry from the Alexandria database: Ho5Er2Sc5 after structural relaxation (PBE-GGA).

raw total energy: -5.26 eV per atom
symmetry: C2/m (12)
formation enthalpy at 0 K: 0.050 eV/atom

```
Ho5Er2Sc5
1.0
7.225 -2.410 0.000
7.225 2.410 0.000
-4.824 0.000 9.675
Ho Er Sc
5 2 5
Direct
0.000 0.000 0.000
0.087 0.087 0.752
0.165 0.165 0.499
0.835 0.835 0.501
0.913 0.913 0.248
0.417 0.417 0.754
0.583 0.583 0.246
0.250 0.250 0.246
0.329 0.329 0.999
0.500 0.500 0.500
0.671 0.671 0.001
0.750 0.750 0.754
```